## MgV3Co (PBE-GGA)

Data for an optimized crystal structure of MgV3Co.

Structure (extended XYZ):
```
5
Lattice="-3.018 -3.044 0.892 2.289 -1.237 3.522 -2.196 2.894 2.444" Properties=species:S:1:pos:R:3 pbc="T T T"
V -1.509 -1.522 0.446
V -1.098 1.447 1.222
V 1.144 -0.618 1.761
Co 0.000 0.000 0.000
Mg -1.463 -0.693 3.429
```

Properties
D(E_F): 1.428 states/eV per atom
Formation energy from the elements: 686 meV/atom
Calculated density: 4.67 g/cm3

***

## Sr2WBr (PBE-GGA)

Data for an optimized crystal structure of Sr2WBr.

Structure (extended XYZ):
```
4
Lattice="-0.861 -1.533 -3.080 -4.121 -2.582 2.436 -3.894 4.928 -1.365" Properties=species:S:1:pos:R:3 pbc="T T T"
Sr -3.950 -0.211 -0.833
Sr -3.408 4.313 -1.194
W -1.461 1.849 -0.512
Br -5.898 2.254 -1.516
```

Properties
D(E_F): 1.064 states/eV per atom
Formation energy from raw total energies: 0.436 eV/atom
Calculated density: 5.88 g/cm3

***

## Th3FeSn (PBE-GGA)

Data for an optimized crystal structure of Th3FeSn.

Structure (extended XYZ):
```
20
Lattice="4.533 0.000 0.000 0.000 8.384 0.000 0.000 0.000 14.671" Properties=species:S:1:pos:R:3 pbc="T T T"
Sn 1.133 0.665 12.038
Sn 1.133 4.857 9.969
Sn 3.400 3.527 4.702
Sn 3.400 7.719 2.633
Th 3.400 1.234 14.608
Th 1.133 3.855 13.217
Th 1.133 5.908 4.263
Th 1.133 2.958 7.272
Th 3.400 2.476 10.408
Th 1.133 8.047 8.790
Th 3.400 0.337 5.881
Th 3.400 4.528 1.454
Th 3.400 5.426 7.399
Th 3.400 6.668 11.599
Th 1.133 7.150 0.063
Th 1.133 1.716 3.072
Fe 3.400 5.634 13.793
Fe 3.400 1.443 8.213
Fe 1.133 2.749 0.878
Fe 1.133 6.941 6.458
```

Properties
D(E_F): 0.647 states/eV per atom
Formation energy from the elements: -334 meV/atom
Calculated density: 10.37 g/cm3

***

Record order is preserved below.
Relative energy among the computed polymorphs: 0, 263, 0 meV per atom